# 1
# Dy4CdPdRu2 GGA-PBE optimized geometry
# N(E_F) = 10.690 states/eV/cell
# E_tot = -140.728 eV for the cell shown
# V = 21.5 Å³ per atom
data_Dy4CdPdRu2
_chemical_formula_sum 'Dy12 Cd3 Pd3 Ru6'
_space_group_name_H-M_alt 'R -3 m'
_space_group_IT_number 166
_space_group_name_Hall '-R 3 2"'
_cell_length_a 4.9470
_cell_length_b 4.9470
_cell_length_c 24.3003
_cell_angle_alpha 90.00
_cell_angle_beta 90.00
_cell_angle_gamma 120.00
loop_
_atom_site_label
_atom_site_type_symbol
_atom_site_fract_x
_atom_site_fract_y
_atom_site_fract_z
Dy1 Dy 0.0000 0.0000 0.1210
Dy2 Dy 0.0000 0.0000 0.3719
Cd1 Cd 0.0000 0.0000 0.5000
Pd1 Pd 0.0000 0.0000 0.0000
Ru1 Ru 0.0000 0.0000 0.2490

=====

# 2
# Sc2FeRu3 GGA-PBE optimized geometry
# N(E_F) = 16.095 states/eV/cell
# E_tot = -153.335 eV for the cell shown
# V = 16.0 Å³ per atom
data_Sc2FeRu3
_chemical_formula_sum 'Sc6 Fe3 Ru9'
_space_group_name_H-M_alt 'R -3 m'
_space_group_IT_number 166
_space_group_name_Hall '-R 3 2"'
_cell_length_a 5.2192
_cell_length_b 5.2192
_cell_length_c 12.1935
_cell_angle_alpha 90.00
_cell_angle_beta 90.00
_cell_angle_gamma 120.00
loop_
_atom_site_label
_atom_site_type_symbol
_atom_site_fract_x
_atom_site_fract_y
_atom_site_fract_z
Sc1 Sc 0.0000 0.0000 0.1252
Fe1 Fe 0.0000 0.0000 0.5000
Ru1 Ru 0.0000 0.5000 0.0000

=====

# 3
# Li6SnSb2 GGA-PBE optimized geometry
# N(E_F) = 5.366 states/eV/cell
# E_tot = -55.634 eV for the cell shown
# V = 19.6 Å³ per atom
data_Li6SnSb2
_chemical_formula_sum 'Li12 Sn2 Sb4'
_space_group_name_H-M_alt 'C 1 2/m 1'
_space_group_IT_number 12
_cell_length_a 14.392
_cell_length_b 7.812
_cell_length_c 3.192
_cell_angle_alpha 90.00
_cell_angle_beta 101.23
_cell_angle_gamma 90.00
loop_
_space_group_symop_operation_xyz
'x,y,z'
'-x,-y,-z'
'-x,y,-z'
'x,-y,z'
'x+1/2,y+1/2,z'
'-x+1/2,-y+1/2,-z'
'-x+1/2,y+1/2,-z'
'x+1/2,-y+1/2,z'
loop_
_atom_site_label
_atom_site_type_symbol
_atom_site_fract_x
_atom_site_fract_y
_atom_site_fract_z
Li1 Li 0.000 0.163 0.000
Li2 Li 0.168 0.319 0.171
Sn1 Sn 0.000 0.500 0.500
Sb1 Sb 0.156 0.000 0.648

=====

# 4
# Cs3TlCl6 GGA-PBE optimized geometry
# relative energy among the computed polymorphs = 7.0 meV per atom
# N(E_F) = 0.000 states/eV/cell
# V = 43.1 Å³ per atom
data_Cs3TlCl6
_chemical_formula_sum 'Cs18 Tl6 Cl36'
_space_group_name_H-M_alt 'R -3'
_space_group_IT_number 148
_space_group_name_Hall '-R 3'
_cell_length_a 13.6135
_cell_length_b 13.6135
_cell_length_c 16.1042
_cell_angle_alpha 90.00
_cell_angle_beta 90.00
_cell_angle_gamma 120.00
loop_
_atom_site_label
_atom_site_type_symbol
_atom_site_fract_x
_atom_site_fract_y
_atom_site_fract_z
Cs1 Cs 0.0448 0.2714 0.2048
Tl1 Tl 0.0000 0.0000 0.0000
Tl2 Tl 0.0000 0.0000 0.5000
Cl1 Cl 0.0168 0.1694 0.4073
Cl2 Cl 0.0288 0.1716 0.9047